VASP calculation (PBE with a Hubbard U) on FeNiIO6 after structural relaxation.

Cell: 5.0071 5.0071 8.9760 Å, 90.00 90.00 120.00°
With the nearest neighbours (Å) after each atom.
Sites, in units of the cell vectors:
Fe 0.3333 0.6667 0.2500  6 O 1.95
Fe 0.6667 0.3333 0.7500  6 O 1.95
Ni 0.0000 0.0000 0.0000  6 O 2.14
Ni 0.0000 0.0000 0.5000  6 O 2.14
I 0.3333 0.6667 0.7500  6 O 1.91
I 0.6667 0.3333 0.2500  6 O 1.91
O 0.0053 0.3553 0.6338  1 I 1.91, 1 Fe 1.95, 1 Ni 2.14
O 0.0053 0.6501 0.8662  1 I 1.91, 1 Fe 1.95, 1 Ni 2.14
O 0.3499 0.3553 0.8662  1 I 1.91, 1 Fe 1.95, 1 Ni 2.14
O 0.3499 0.9947 0.6338  1 I 1.91, 1 Fe 1.95, 1 Ni 2.14
O 0.3553 0.0053 0.1338  1 I 1.91, 1 Fe 1.95, 1 Ni 2.14
O 0.3553 0.3499 0.3662  1 I 1.91, 1 Fe 1.95, 1 Ni 2.14
O 0.6447 0.6501 0.6338  1 I 1.91, 1 Fe 1.95, 1 Ni 2.14
O 0.6447 0.9947 0.8662  1 I 1.91, 1 Fe 1.95, 1 Ni 2.14
O 0.6501 0.0053 0.3662  1 I 1.91, 1 Fe 1.95, 1 Ni 2.14
O 0.6501 0.6447 0.1338  1 I 1.91, 1 Fe 1.95, 1 Ni 2.14
O 0.9947 0.3499 0.1338  1 I 1.91, 1 Fe 1.95, 1 Ni 2.14
O 0.9947 0.6447 0.3662  1 I 1.91, 1 Fe 1.95, 1 Ni 2.14

* raw total energy: -5.002 eV per atom
* magnetization: 6.07 μB/cell
* space-group type: P-31c